Computed, not measured: Li2CoTeN after structural relaxation at the GGA-PBE level of DFT.

Calculated values
- crystal system = tetragonal
- energy relative to the elements, uncorrected (meV/atom) = -330
- total moment (μB per formula unit) = 0.02

Cell lengths 4.3513, 4.3513, 3.5682 Å; angles 90.00, 90.00, 90.00 degrees
Element x y z (fractional)
Li 0.0000 0.5000 0.0000
Li 0.5000 0.0000 0.0000
Co 0.0000 0.0000 0.5000
Te 0.5000 0.5000 0.5000
N 0.0000 0.0000 0.0000